! Sm5Sc4Sn4 | Alexandria via LeMat-Bulk | GGA-PBE | optimized geometry; values from VASP
&SYSTEM
  ibrav = 0, nat = 13, ntyp = 3
/
ATOMIC_SPECIES
Sm 150.36 Sm.upf
Sc 44.96 Sc.upf
Sn 118.71 Sn.upf
CELL_PARAMETERS angstrom
-6.407 6.407 2.229
6.407 -6.407 2.229
6.407 6.407 -2.229
ATOMIC_POSITIONS angstrom
Sm 0.000 0.000 0.000
Sm 8.006 3.772 0.000
Sm 3.772 4.807 0.000
Sm 2.635 1.599 2.229
Sm -1.599 2.635 2.229
Sc 5.326 1.223 0.000
Sc 5.184 -1.081 2.229
Sc 1.223 7.488 0.000
Sc 1.081 5.184 2.229
Sn 9.677 0.877 0.000
Sn 0.877 3.137 0.000
Sn 5.530 3.270 2.229
Sn -3.270 5.530 2.229
! - calculated formation energy (eV per atom) = -0.551
! - DFT total energy (eV per atom) = -5.546